Entry 1:
# ScAsCBr2 (GGA-PBE, optimized geometry)
# **Formation energy (no corrections)**: 0.87 eV/atom
# **Calculated volume**: 147.8 Å³/f.u.
data_ScAsCBr2
_chemical_formula_sum 'Sc1 As1 C1 Br2'
_symmetry_space_group_name_H-M 'P 4/m m m'
_symmetry_Int_Tables_number 123
_symmetry_space_group_name_Hall '-P 4 2'
_cell_length_a 5.181
_cell_length_b 5.181
_cell_length_c 5.507
_cell_angle_alpha 90.00
_cell_angle_beta 90.00
_cell_angle_gamma 90.00
loop_
_atom_site_label
_atom_site_type_symbol
_atom_site_fract_x
_atom_site_fract_y
_atom_site_fract_z
Sc1 Sc 0.000 0.000 0.000
As1 As 0.000 0.000 0.500
C1 C 0.500 0.500 0.500
Br1 Br 0.000 0.500 0.000


Entry 2:
# ScAsCBr2 (GGA-PBE, optimized geometry)
# **Formation energy (no corrections)**: 0.66 eV/atom
# **Calculated volume**: 96.6 Å³/f.u.
data_ScAsCBr2
_chemical_formula_sum 'Sc1 As1 C1 Br2'
_symmetry_space_group_name_H-M 'P 4/m m m'
_symmetry_Int_Tables_number 123
_symmetry_space_group_name_Hall '-P 4 2'
_cell_length_a 4.604
_cell_length_b 4.604
_cell_length_c 4.559
_cell_angle_alpha 90.00
_cell_angle_beta 90.00
_cell_angle_gamma 90.00
loop_
_atom_site_label
_atom_site_type_symbol
_atom_site_fract_x
_atom_site_fract_y
_atom_site_fract_z
Sc1 Sc 0.000 0.000 0.000
As1 As 0.500 0.500 0.000
C1 C 0.500 0.500 0.500
Br1 Br 0.000 0.500 0.500


Entry 3:
# SrAsCBr2 (GGA-PBE, optimized geometry)
# **Formation energy (no corrections)**: 0.18 eV/atom
# **Calculated volume**: 127.1 Å³/f.u.
data_SrAsCBr2
_chemical_formula_sum 'Sr1 As1 C1 Br2'
_symmetry_space_group_name_H-M 'P 4/m m m'
_symmetry_Int_Tables_number 123
_symmetry_space_group_name_Hall '-P 4 2'
_cell_length_a 5.722
_cell_length_b 5.722
_cell_length_c 3.881
_cell_angle_alpha 90.00
_cell_angle_beta 90.00
_cell_angle_gamma 90.00
loop_
_atom_site_label
_atom_site_type_symbol
_atom_site_fract_x
_atom_site_fract_y
_atom_site_fract_z
Sr1 Sr 0.000 0.000 0.000
As1 As 0.500 0.500 0.000
C1 C 0.500 0.500 0.500
Br1 Br 0.000 0.500 0.500


Entry 4:
# SrAsCBr2 (GGA-PBE, optimized geometry)
# **Formation energy (no corrections)**: 1.06 eV/atom
# **Calculated volume**: 236.6 Å³/f.u.
data_SrAsCBr2
_chemical_formula_sum 'Sr1 As1 C1 Br2'
_symmetry_space_group_name_H-M 'P 4/m m m'
_symmetry_Int_Tables_number 123
_symmetry_space_group_name_Hall '-P 4 2'
_cell_length_a 5.912
_cell_length_b 5.912
_cell_length_c 6.769
_cell_angle_alpha 90.00
_cell_angle_beta 90.00
_cell_angle_gamma 90.00
loop_
_atom_site_label
_atom_site_type_symbol
_atom_site_fract_x
_atom_site_fract_y
_atom_site_fract_z
Sr1 Sr 0.000 0.000 0.000
As1 As 0.000 0.000 0.500
C1 C 0.500 0.500 0.500
Br1 Br 0.000 0.500 0.000


Entry 5:
# TeAsCBr2 (GGA-PBE, optimized geometry)
# **Formation energy (no corrections)**: 1.78 eV/atom
# **Calculated volume**: 179.5 Å³/f.u.
data_TeAsCBr2
_chemical_formula_sum 'Te1 As1 C1 Br2'
_symmetry_space_group_name_H-M 'P 4/m m m'
_symmetry_Int_Tables_number 123
_symmetry_space_group_name_Hall '-P 4 2'
_cell_length_a 5.628
_cell_length_b 5.628
_cell_length_c 5.668
_cell_angle_alpha 90.00
_cell_angle_beta 90.00
_cell_angle_gamma 90.00
loop_
_atom_site_label
_atom_site_type_symbol
_atom_site_fract_x
_atom_site_fract_y
_atom_site_fract_z
Te1 Te 0.000 0.000 0.000
As1 As 0.000 0.000 0.500
C1 C 0.500 0.500 0.500
Br1 Br 0.000 0.500 0.000


Entry 6:
# TeAs2CBr (GGA-PBE, optimized geometry)
# **Formation energy (no corrections)**: 2.09 eV/atom
# **Calculated volume**: 167.5 Å³/f.u.
data_TeAs2CBr
_chemical_formula_sum 'Te1 As2 C1 Br1'
_symmetry_space_group_name_H-M 'P 4/m m m'
_symmetry_Int_Tables_number 123
_symmetry_space_group_name_Hall '-P 4 2'
_cell_length_a 5.517
_cell_length_b 5.517
_cell_length_c 5.502
_cell_angle_alpha 90.00
_cell_angle_beta 90.00
_cell_angle_gamma 90.00
loop_
_atom_site_label
_atom_site_type_symbol
_atom_site_fract_x
_atom_site_fract_y
_atom_site_fract_z
Te1 Te 0.000 0.000 0.000
As1 As 0.000 0.500 0.000
C1 C 0.500 0.500 0.500
Br1 Br 0.000 0.000 0.500


Energy relative to the lowest polymorph listed for this composition across the listed records, respectively: 19.8, 0.0, 0.0, 85.4, 60.2, 93.6 kJ per mole of atoms.